Density functional theory data (GGA-PBE) for an optimized crystal structure of In2GeBi.

Values from the calculation:
E_tot (eV per atom): -3.35
Energy above the most stable polymorph in this dataset (meV per atom): 9
DFT formation energy (eV/atom): 0.1425
Spin magnetization (Bohr magnetons per cell): 0.00
Crystal system: tetragonal

abc: 3.592 3.592 8.168
angles: 90.00 90.00 90.00
Space group P4/mmm (No. 123)
Symmetry-distinct sites (fractional):
In1 0.000 0.000 0.215 x2
Ge1 0.500 0.500 0.000 x1
Bi1 0.500 0.500 0.500 x1